Material: Rb2CdSnCl6
Method: DFT, PBE-GGA
State: optimized geometry

```
Rb2CdSnCl6
1.0
3.852 2.224 6.119
-3.852 2.224 6.119
0.000 -4.448 6.119
Rb Cd Sn Cl
2 1 1 6
Cartesian
0.000 0.000 0.000
0.000 0.000 9.007
0.000 0.000 4.479
0.000 0.000 13.658
-1.601 -1.514 5.981
-3.341 0.089 9.081
-0.510 2.144 5.981
1.593 -2.938 9.081
2.112 -0.630 5.981
1.748 2.849 9.081
```

Output
The calculation puts the uncorrected formation energy at -138 kJ/mol of atoms. The volume comes out at 314.48 Å³ per cell. As for the total energy: -0.11847 hartree per atom.

---

Material: Rb4SrCd3Cl12
Method: DFT, PBE-GGA
State: optimized geometry

```
Rb4SrCd3Cl12
1.0
-5.381 5.381 5.381
5.381 -5.381 5.381
5.381 5.381 -5.381
Rb Sr Cd Cl
4 1 3 12
Cartesian
2.690 2.690 -2.690
2.690 -2.690 2.690
-2.690 2.690 2.690
2.690 2.690 2.690
0.000 0.000 0.000
5.381 0.000 0.000
0.000 5.381 0.000
0.000 0.000 5.381
2.804 0.000 0.000
7.958 0.000 0.000
5.381 2.690 0.000
5.381 0.000 2.690
0.000 2.804 0.000
0.000 0.000 2.804
2.690 5.381 0.000
2.690 0.000 5.381
0.000 7.958 0.000
0.000 0.000 7.958
0.000 5.381 2.690
0.000 2.690 5.381
```

Output
The calculation puts the uncorrected formation energy at -158 kJ/mol of atoms. The volume comes out at 623.22 Å³ per cell. As for the total energy: -0.11609 hartree per atom.

---

Material: RbSrCdCl5
Method: DFT, PBE-GGA
State: optimized geometry

```
RbSrCdCl5
1.0
4.736 -6.374 0.000
4.736 6.374 0.000
-4.110 0.000 9.558
Rb Sr Cd Cl
2 2 2 10
Cartesian
1.653 4.355 7.169
3.708 -4.355 2.390
4.736 0.000 0.000
2.681 0.000 4.779
3.708 4.039 2.390
1.653 -4.039 7.169
-2.147 0.776 8.910
2.045 2.646 3.635
-0.092 -0.776 4.130
5.372 2.646 1.144
1.653 1.120 7.169
3.708 -1.120 2.390
-0.010 -2.646 8.414
5.453 0.776 5.428
3.317 -2.646 5.923
7.508 -0.776 0.649
```

Output
The calculation puts the uncorrected formation energy at -176 kJ/mol of atoms. The volume comes out at 577.09 Å³ per cell. As for the total energy: -0.12600 hartree per atom.